The following is a DFT calculation (GGA-PBE) of PmThRuCl after structural relaxation.

a b c (Å): 8.135 8.135 8.135
angles (deg): 28.81 28.81 28.81
Fractional positions:
1 Pm 0.000 0.000 0.000
2 Th 0.202 0.202 0.202
3 Ru 0.594 0.594 0.594
4 Cl 0.764 0.764 0.764

Calculated values
For the formation energy without anion corrections, the calculation gives -0.940 eV/atom. The calculation puts the total energy at -6.7635 eV/atom.

The following is a DFT calculation (GGA-PBE) of Pm6ZnRu2Cl3 after structural relaxation.

a b c (Å): 7.072 7.072 7.920
angles (deg): 98.46 98.46 120.15
Fractional positions:
1 Pm 0.075 0.431 0.791
2 Pm 0.213 0.213 0.211
3 Pm 0.431 0.075 0.791
4 Pm 0.569 0.925 0.209
5 Pm 0.787 0.787 0.789
6 Pm 0.925 0.569 0.209
7 Zn 0.500 0.500 0.000
8 Ru 0.166 0.834 0.000
9 Ru 0.834 0.166 0.000
10 Cl 0.000 0.000 0.500
11 Cl 0.328 0.672 0.500
12 Cl 0.672 0.328 0.500

Calculated values
For the formation energy without anion corrections, the calculation gives -0.890 eV/atom. The calculation puts the total energy at -5.3794 eV/atom.

The following is a DFT calculation (GGA-PBE) of PmS2Cl2 after structural relaxation.

a b c (Å): 7.803 7.803 7.593
angles (deg): 96.49 96.49 124.10
Fractional positions:
1 Pm 0.173 0.827 0.000
2 Pm 0.827 0.173 0.000
3 S 0.084 0.084 0.232
4 S 0.242 0.242 0.053
5 S 0.758 0.758 0.947
6 S 0.916 0.916 0.768
7 Cl 0.019 0.552 0.234
8 Cl 0.448 0.981 0.766
9 Cl 0.552 0.019 0.234
10 Cl 0.981 0.448 0.766

Calculated values
For the formation energy without anion corrections, the calculation gives -1.529 eV/atom. The calculation puts the total energy at -4.8689 eV/atom.

The following is a DFT calculation (GGA-PBE) of PmS8Cl2 after structural relaxation.

a b c (Å): 5.573 7.695 8.392
angles (deg): 74.58 70.80 81.98
Fractional positions:
1 Pm 0.000 0.000 0.000
2 S 0.062 0.564 0.076
3 S 0.064 0.604 0.674
4 S 0.442 0.609 0.568
5 S 0.470 0.127 0.013
6 S 0.530 0.873 0.987
7 S 0.558 0.391 0.432
8 S 0.936 0.396 0.326
9 S 0.938 0.436 0.924
10 Cl 0.124 0.089 0.663
11 Cl 0.876 0.911 0.337

Calculated values
For the formation energy without anion corrections, the calculation gives -0.486 eV/atom. The calculation puts the total energy at -4.2553 eV/atom.

The following is a DFT calculation (GGA-PBE) of PmS5Cl after structural relaxation.

a b c (Å): 7.230 7.230 5.232
angles (deg): 108.43 108.43 122.47
Fractional positions:
1 Pm 0.000 0.000 0.000
2 S 0.235 0.765 0.000
3 S 0.258 0.125 0.669
4 S 0.678 0.080 0.242
5 S 0.875 0.742 0.331
6 S 0.920 0.322 0.758
7 Cl 0.427 0.573 0.500

Calculated values
For the formation energy without anion corrections, the calculation gives -0.640 eV/atom. The calculation puts the total energy at -4.5309 eV/atom.

The following is a DFT calculation (GGA-PBE) of Pm3S3Cl after structural relaxation.

a b c (Å): 6.055 6.055 6.055
angles (deg): 110.48 110.48 110.48
Fractional positions:
1 Pm 0.005 0.497 0.497
2 Pm 0.497 0.005 0.497
3 Pm 0.497 0.497 0.005
4 S 0.012 0.012 0.462
5 S 0.012 0.462 0.012
6 S 0.462 0.012 0.012
7 Cl 0.571 0.571 0.571

Calculated values
For the formation energy without anion corrections, the calculation gives -1.784 eV/atom. The calculation puts the total energy at -5.8526 eV/atom.

The following is a DFT calculation (GGA-PBE) of PmSCl2 after structural relaxation.

a b c (Å): 6.774 6.774 8.551
angles (deg): 90.00 90.00 145.64
Fractional positions:
1 Pm 0.247 0.753 0.750
2 Pm 0.753 0.247 0.250
3 S 0.404 0.596 0.250
4 S 0.596 0.404 0.750
5 Cl 0.150 0.850 0.058
6 Cl 0.150 0.850 0.442
7 Cl 0.850 0.150 0.558
8 Cl 0.850 0.150 0.942

Calculated values
For the formation energy without anion corrections, the calculation gives -1.607 eV/atom. The calculation puts the total energy at -4.7497 eV/atom.

The following is a DFT calculation (GGA-PBE) of Pm5S4Cl after structural relaxation.

a b c (Å): 7.000 7.000 7.000
angles (deg): 99.56 99.56 131.90
Fractional positions:
1 Pm 0.000 0.000 0.000
2 Pm 0.183 0.603 0.786
3 Pm 0.397 0.183 0.581
4 Pm 0.603 0.817 0.419
5 Pm 0.817 0.397 0.214
6 S 0.107 0.297 0.404
7 S 0.297 0.893 0.191
8 S 0.703 0.107 0.809
9 S 0.893 0.703 0.596
10 Cl 0.500 0.500 0.000

Calculated values
For the formation energy without anion corrections, the calculation gives -1.894 eV/atom. The calculation puts the total energy at -6.1050 eV/atom.

The following is a DFT calculation (GGA-PBE) of Pm4S4Cl3 after structural relaxation.

a b c (Å): 9.303 9.303 9.303
angles (deg): 154.88 128.93 57.73
Fractional positions:
1 Pm 0.234 0.234 0.000
2 Pm 0.277 0.500 0.777
3 Pm 0.723 0.500 0.223
4 Pm 0.766 0.766 0.000
5 S 0.039 0.334 0.705
6 S 0.371 0.666 0.705
7 S 0.629 0.334 0.295
8 S 0.961 0.666 0.295
9 Cl 0.000 0.000 0.000
10 Cl 0.411 0.911 0.500
11 Cl 0.589 0.089 0.500

Calculated values
For the formation energy without anion corrections, the calculation gives -1.929 eV/atom. The calculation puts the total energy at -5.6613 eV/atom.

The following is a DFT calculation (GGA-PBE) of Pm8S6Cl after structural relaxation.

a b c (Å): 10.598 10.598 4.136
angles (deg): 90.00 90.00 120.00
Fractional positions:
1 Pm 0.038 0.356 0.244
2 Pm 0.318 0.962 0.244
3 Pm 0.333 0.667 0.753
4 Pm 0.356 0.318 0.756
5 Pm 0.644 0.682 0.244
6 Pm 0.667 0.333 0.247
7 Pm 0.682 0.038 0.756
8 Pm 0.962 0.644 0.756
9 S 0.139 0.659 0.254
10 S 0.341 0.481 0.254
11 S 0.481 0.139 0.746
12 S 0.519 0.861 0.254
13 S 0.659 0.519 0.746
14 S 0.861 0.341 0.746
15 Cl 0.000 0.000 0.000

Calculated values
For the formation energy without anion corrections, the calculation gives -1.586 eV/atom. The calculation puts the total energy at -5.8938 eV/atom.

The following is a DFT calculation (GGA-PBE) of Pm2SCl after structural relaxation.

a b c (Å): 7.843 7.843 7.843
angles (deg): 28.56 28.56 28.56
Fractional positions:
1 Pm 0.000 0.000 0.000
2 Pm 0.191 0.191 0.191
3 S 0.594 0.594 0.594
4 Cl 0.427 0.427 0.427

Calculated values
For the formation energy without anion corrections, the calculation gives -1.666 eV/atom. Its relative energy among the computed polymorphs is 2.56 kJ per mole of atoms. The calculation puts the total energy at -5.5345 eV/atom.

The following is a DFT calculation (GGA-PBE) of PmS6Cl2 after structural relaxation.

a b c (Å): 4.213 7.866 9.151
angles (deg): 111.88 92.96 90.78
Fractional positions:
1 Pm 0.000 0.000 0.000
2 S 0.101 0.725 0.448
3 S 0.106 0.278 0.308
4 S 0.109 0.496 0.716
5 S 0.891 0.504 0.284
6 S 0.894 0.722 0.692
7 S 0.899 0.275 0.552
8 Cl 0.499 0.166 0.910
9 Cl 0.501 0.834 0.090

Calculated values
For the formation energy without anion corrections, the calculation gives -0.645 eV/atom. The calculation puts the total energy at -4.3353 eV/atom.

Question: Number 5 is which compound?
Answer: PmS5Cl

Question: Which of these has the lowest formation energy without anion corrections?
Answer: Pm4S4Cl3

Question: Number 5 is which compound?
Answer: PmS5Cl

Question: What is the formation energy without anion corrections in the fourth record?
Answer: -0.486 eV/atom